# 1
Below is an optimized crystal structure of SbPW2, with properties calculated at the GGA-PBE level.

Cell: 4.8399 4.8399 4.8399 Å, 128.41 128.41 75.97°
With the nearest neighbours (Å) after each atom.
Element x y z (fractional)
Sb: 0.0000 0.0000 0.0000  8 W 2.84-2.98, 4 P 2.84
P: 0.7500 0.2500 0.5000  8 W 2.84-2.98, 4 Sb 2.84
W: 0.2500 0.7500 0.5000  4 W 2.84, 4 Sb 2.84, 4 P 2.98
W: 0.5000 0.5000 0.0000  4 W 2.84, 4 P 2.84, 4 Sb 2.98

## Properties
The calculation puts the density of states at the Fermi level at 2.15 states/eV/cell. Its formation energy (no corrections) is 14.7 kcal/mol of atoms. Its crystal system is tetragonal. The calculation puts the theoretical density at 12766 kg/m3.

=====

# 2
Below is an optimized crystal structure of Sb2PW, with properties calculated at the GGA-PBE level.

Cell: 3.3965 3.3965 6.8368 Å, 90.00 90.00 90.00°
With the nearest neighbours (Å) after each atom.
Element x y z (fractional)
Sb: 0.0000 0.0000 0.2339  4 W 2.89, 4 P 3.01, 1 Sb 3.20
Sb: 0.0000 0.0000 0.7661  4 W 2.89, 4 P 3.01, 1 Sb 3.20
P: 0.5000 0.5000 0.5000  8 Sb 3.01
W: 0.5000 0.5000 0.0000  8 Sb 2.89

## Properties
The calculation puts the density of states at the Fermi level at 1.97 states/eV/cell. Its formation energy (no corrections) is 13.0 kcal/mol of atoms. Its crystal system is tetragonal. The calculation puts the theoretical density at 9650 kg/m3.

=====

# 3
Below is an optimized crystal structure of Sb2PW, with properties calculated at the GGA-PBE level.

Cell: 7.3504 7.3504 7.3504 Å, 129.92 129.92 73.53°
With the nearest neighbours (Å) after each atom.
Element x y z (fractional)
Sb: 0.1222 0.6250 0.9972  2 W 2.64, 2 P 2.66
Sb: 0.3750 0.3722 0.4972  2 W 2.64, 2 P 2.66
Sb: 0.6278 0.1250 0.0028  2 W 2.64, 2 P 2.66
Sb: 0.8750 0.8778 0.5028  2 W 2.64, 2 P 2.66
P: 0.2500 0.7500 0.5000  4 Sb 2.66
P: 0.5000 0.5000 0.0000  4 Sb 2.66
W: 0.0000 0.0000 0.0000  4 Sb 2.64
W: 0.7500 0.2500 0.5000  4 Sb 2.64

## Properties
The calculation puts the density of states at the Fermi level at 5.95 states/eV/cell. Its formation energy (no corrections) is 21.3 kcal/mol of atoms. Its crystal system is tetragonal. The calculation puts the theoretical density at 6678 kg/m3.

=====

# 4
Below is an optimized crystal structure of SbPW2, with properties calculated at the GGA-PBE level.

Cell: 4.1979 4.1979 6.0431 Å, 102.19 102.19 43.63°
With the nearest neighbours (Å) after each atom.
Element x y z (fractional)
Sb: 0.0000 0.0000 0.0000  6 W 2.91-2.98, 2 Sb 3.12
P: 0.5000 0.5000 0.5000  6 W 2.49-2.51
W: 0.2406 0.2406 0.6805  3 P 2.49-2.51, 2 W 2.71
W: 0.7594 0.7594 0.3195  3 P 2.49-2.51, 2 W 2.71

## Properties
The calculation puts the density of states at the Fermi level at 2.53 states/eV/cell. Its formation energy (no corrections) is 7.9 kcal/mol of atoms. Its crystal system is monoclinic. The calculation puts the theoretical density at 12078 kg/m3.